Record 1
Computed, not measured: a relaxed structure of Li2InHgAs at the GGA-PBE level of DFT.

The total energy is -2.561 eV/atom. Its density of states at the Fermi level is 1.6 states/eV/f.u. The magnetization is 0.000 μB/atom. Its formation energy is -257.3 meV per atom.

The structure belongs to space group P4/mmm (No. 123); the cell edges are 4.8530, 4.8530 and 5.5099 Å and the angles 90.00°, 90.00° and 90.00°. The distinct sites, in fractional coordinates, are Li at (0.0000, 0.5000, 0.0000), In at (0.0000, 0.0000, 0.5000), Hg at (0.5000, 0.5000, 0.5000) and As at (0.0000, 0.0000, 0.0000).


Record 2
Computed, not measured: a relaxed structure of LaZr2Mo at the GGA-PBE level of DFT.

The total energy is -7.820 eV/atom. Its density of states at the Fermi level is 5.3 states/eV/f.u. The magnetization is 0.000 μB/atom. Its formation energy is 393.5 meV per atom.

The structure belongs to space group C2/m (No. 12); the cell edges are 6.0376, 9.9604 and 3.1218 Å and the angles 90.00°, 108.55° and 90.00°. The distinct sites, in fractional coordinates, are La at (0.0000, 0.0000, 0.0000), Zr at (0.2500, 0.2500, 0.5000) and Mo at (0.0000, 0.5000, 0.0000).


Record 3
Computed, not measured: a relaxed structure of LiSi2 at the GGA-PBE level of DFT.

For the uncorrected formation energy, the calculation gives -0.119 eV/f.u. The total energy is -4.293 eV/atom. Its density of states at the Fermi level is 0.6 states/eV/f.u. The magnetization is 0.000 μB/atom.

The structure belongs to space group Cmcm (No. 63); the cell edges are 4.6338, 6.7715 and 5.8567 Å and the angles 90.00°, 90.00° and 90.00°. The distinct sites, in fractional coordinates, are Li at (0.0000, 0.0265, 0.2500) and Si at (0.0000, 0.3259, 0.5412).


Record 4
Computed, not measured: a relaxed structure of Pr4NdSm3Te8 at the GGA-PBE level of DFT.

For the uncorrected formation energy, the calculation gives -22.600 eV/f.u. The total energy is -5.361 eV/atom. Its density of states at the Fermi level is 12.8 states/eV/f.u. The magnetization is 0.000 μB/atom.

The structure belongs to space group R-3m (No. 166, hexagonal axes); the cell edges are 8.9780, 8.9780 and 22.1011 Å and the angles 90.00°, 90.00° and 120.00°. The distinct sites, in fractional coordinates, are Pr at (0.0000, 0.0000, 0.0000), Pr at (0.0000, 0.5000, 0.0000), Nd at (0.0000, 0.0000, 0.5000), Sm at (0.0000, 0.5000, 0.5000), Te at (0.0000, 0.0000, 0.2476) and Te at (0.0020, 0.5010, 0.7519).